DFT (GGA+U) results for a relaxed Rb2VPdO4 crystal.

**Total DFT energy (no corrections)**: -5.7621 eV per atom
**D(E_F)**: 0.6 states/eV per cell
**SG**: I-4

The structure in extended XYZ format:
```
8
Lattice="-2.419 -1.466 -5.014 2.331 -4.510 2.714 -3.839 2.034 3.777" Properties=species:S:1:pos:R:3 pbc="T T T"
Rb -0.421 -3.607 0.473
Rb 0.000 0.000 0.000
V -0.754 -1.238 3.246
Pd -3.506 -0.335 1.004
O -2.667 -1.982 -0.242
O -1.725 -0.092 2.324
O -1.763 -3.129 -2.736
O -1.699 -2.681 3.609
```